This record from the Alexandria database describes a geometry-optimized LaMoCl4 structure. The functional is PBE-GGA.

Computed properties:
**Calculated total energy**: -0.2788 Ry/atom
**Energy relative to the elements, uncorrected**: 38 kJ/mol of formula units
**Total moment**: 20.0 μB/cell

Unit cell a=8.3754 b=8.3754 c=8.3754 alpha=90.00 beta=90.00 gamma=90.00
Space group F-43m (No. 216)
Symmetry-distinct sites (fractional):
La: 0.0000 0.0000 0.0000 x4
Mo: 0.2500 0.2500 0.7500 x4
Cl: 0.1249 0.1249 0.3751 x16

This record from the Alexandria database describes a geometry-optimized LaMoCl2 structure. The functional is PBE-GGA.

Computed properties:
**Calculated total energy**: -0.3913 Ry/atom
**Excess energy over the best structure of this formula in the dataset**: 174 meV per atom
**Energy relative to the elements, uncorrected**: -178 kJ/mol of formula units
**Total moment**: 2.0 μB/cell

Unit cell a=11.5573 b=3.4967 c=5.0855 alpha=90.00 beta=90.59 gamma=90.00
Space group Cm (No. 8)
Symmetry-distinct sites (fractional):
La: 0.0000 0.0000 0.0000 x2
Mo: 0.3292 0.0000 0.2496 x2
Cl: 0.0077 0.5000 0.5148 x2
Cl: 0.2324 0.5000 0.9960 x2

This record from the Alexandria database describes a geometry-optimized LaMoCl2 structure. The functional is PBE-GGA.

Computed properties:
**Calculated total energy**: -0.3843 Ry/atom
**Excess energy over the best structure of this formula in the dataset**: 269 meV per atom
**Energy relative to the elements, uncorrected**: -141 kJ/mol of formula units
**Total moment**: 2.7 μB/cell

Unit cell a=3.4542 b=4.5948 c=5.6596 alpha=90.00 beta=90.00 gamma=90.00
Space group Pmmm (No. 47)
Symmetry-distinct sites (fractional):
La: 0.0000 0.0000 0.0000 x1
Mo: 0.5000 0.0000 0.5000 x1
Cl: 0.0000 0.5000 0.5000 x1
Cl: 0.5000 0.5000 0.0000 x1

This record from the Alexandria database describes a geometry-optimized LaMoCl2 structure. The functional is PBE-GGA.

Computed properties:
**Calculated total energy**: -0.4040 Ry/atom
**Excess energy over the best structure of this formula in the dataset**: 0 meV per atom
**Energy relative to the elements, uncorrected**: -245 kJ/mol of formula units
**Total moment**: 0.7 μB/cell

Unit cell a=3.4925 b=4.8496 c=12.3205 alpha=90.00 beta=90.00 gamma=90.00
Space group Immm (No. 71)
Symmetry-distinct sites (fractional):
La: 0.0000 0.0000 0.0000 x2
Mo: 0.0000 0.0000 0.5000 x2
Cl: 0.0000 0.5000 0.1504 x4